Compound: La2BeZn3Ni12
Source: Alexandria
Functional: PBE
Structure: optimized geometry

Values from the calculation:
E = -257.645 eV per cell
calculated volume = 793.93 Å³/cell
density of states at the Fermi level = 0.550 states/eV per atom

Geometry as CIF:
```
data_La2BeZn3Ni12
_chemical_formula_sum 'La6 Be3 Zn9 Ni36'
_cell_length_a 6.1550
_cell_length_b 6.1550
_cell_length_c 24.1990
_cell_angle_alpha 90.00
_cell_angle_beta 90.00
_cell_angle_gamma 120.00
_space_group_name_H-M_alt 'R -3 m'
_space_group_IT_number 166
_space_group_name_Hall '-R 3 2"'
loop_
_atom_site_label
_atom_site_fract_x
_atom_site_fract_y
_atom_site_fract_z
_atom_site_occupancy
La1 0.0000 0.0000 0.1615 1
Be1 0.0000 0.0000 0.5000 1
Zn1 0.0000 0.5000 0.0000 1
Ni1 0.0672 0.5336 0.0995 1
Ni2 0.0752 0.5376 0.6128 1
```